Entry 1:
{
  "formula": "Rb2SnBi2",
  "functional": "SCAN",
  "state": "single point on PBEsol structure",
  "e_tot_ha_per_atom": -1.7352,
  "crystal_system": "tetragonal",
  "sg": "No. 127",
  "formation_enthalpy_0k_kcal_per_mol_atoms": -7.02,
  "lattice_angstrom": [[5.879, 0.000, 0.000], [0.000, 8.143, 0.000], [0.000, 0.000, 8.143]],
  "species": ["Bi", "Bi", "Bi", "Bi", "Rb", "Rb", "Rb", "Rb", "Sn", "Sn"],
  "fractional_positions": [[0.000, 0.368, 0.868], [0.000, 0.868, 0.632], [0.000, 0.632, 0.132], [0.000, 0.132, 0.368], [0.500, 0.173, 0.673], [0.500, 0.673, 0.827], [0.500, 0.827, 0.327], [0.500, 0.327, 0.173], [0.000, 0.000, 0.000], [0.000, 0.500, 0.500]]
}


Entry 2:
{
  "formula": "RbTcSnBi2",
  "functional": "SCAN",
  "state": "single point on PBEsol structure",
  "e_tot_ha_per_atom": -1.8205,
  "crystal_system": "tetragonal",
  "sg": "No. 123",
  "formation_enthalpy_0k_kcal_per_mol_atoms": 5.47,
  "lattice_angstrom": [[5.243, 0.000, 0.000], [0.000, 5.415, 0.000], [0.000, 0.000, 5.415]],
  "species": ["Tc", "Bi", "Bi", "Rb", "Sn"],
  "fractional_positions": [[0.000, 0.000, 0.000], [0.000, 0.000, 0.500], [0.000, 0.500, 0.000], [0.500, 0.500, 0.500], [0.500, 0.000, 0.000]]
}


Entry 3:
{
  "formula": "RbSrBi",
  "functional": "SCAN",
  "state": "single point on PBEsol structure",
  "e_tot_ha_per_atom": -1.5182,
  "crystal_system": "orthorhombic",
  "sg": "No. 62",
  "formation_enthalpy_0k_kcal_per_mol_atoms": -18.00,
  "lattice_angstrom": [[-3.927, -3.774, -1.084], [1.733, -4.176, 8.264], [-6.700, 5.734, 4.303]],
  "species": ["Sr", "Sr", "Sr", "Sr", "Bi", "Bi", "Bi", "Bi", "Rb", "Rb", "Rb", "Rb"],
  "fractional_positions": [[0.750, 0.852, 0.922], [0.250, 0.648, 0.422], [0.250, 0.148, 0.078], [0.750, 0.352, 0.578], [0.750, 0.210, 0.892], [0.250, 0.290, 0.392], [0.250, 0.790, 0.108], [0.750, 0.710, 0.608], [0.750, 0.986, 0.329], [0.250, 0.514, 0.829], [0.250, 0.014, 0.671], [0.750, 0.486, 0.171]]
}


Entry 4:
{
  "formula": "Rb3TaBi",
  "functional": "SCAN",
  "state": "single point on PBEsol structure",
  "e_tot_ha_per_atom": -1.4761,
  "crystal_system": "cubic",
  "sg": "No. 221",
  "formation_enthalpy_0k_kcal_per_mol_atoms": 30.23,
  "lattice_angstrom": [[6.903, 0.000, 0.000], [0.000, 6.903, 0.000], [0.000, 0.000, 6.903]],
  "species": ["Bi", "Rb", "Rb", "Rb", "Ta"],
  "fractional_positions": [[0.000, 0.000, 0.000], [0.000, 0.500, 0.000], [0.000, 0.000, 0.500], [0.500, 0.000, 0.000], [0.500, 0.500, 0.500]]
}


Entry 5:
{
  "formula": "RbTcBi3",
  "functional": "SCAN",
  "state": "single point on PBEsol structure",
  "e_tot_ha_per_atom": -2.1323,
  "crystal_system": "cubic",
  "sg": "No. 221",
  "formation_enthalpy_0k_kcal_per_mol_atoms": 6.59,
  "lattice_angstrom": [[-0.390, 3.284, -4.292], [-3.533, -3.412, -2.288], [-4.089, 2.634, 2.387]],
  "species": ["Bi", "Bi", "Bi", "Rb", "Tc"],
  "fractional_positions": [[0.000, 0.500, 0.000], [0.000, 0.000, 0.500], [0.500, 0.000, 0.000], [0.500, 0.500, 0.500], [0.000, 0.000, 0.000]]
}


Entry 6:
{
  "formula": "Rb2BiTe",
  "functional": "SCAN",
  "state": "single point on PBEsol structure",
  "e_tot_ha_per_atom": -1.4607,
  "formation_energy_uncorrected_ev_per_atom": -0.42,
  "crystal_system": "tetragonal",
  "sg": "No. 122",
  "lattice_angstrom": [[-0.905, -6.320, 0.908], [5.641, -3.511, 4.088], [-3.964, -1.792, 6.475]],
  "species": ["Te", "Te", "Bi", "Bi", "Rb", "Rb", "Rb", "Rb"],
  "fractional_positions": [[0.250, 0.500, 0.500], [0.500, 0.000, 0.000], [0.750, 0.500, 0.500], [0.000, 0.000, 0.000], [0.150, 0.975, 0.475], [0.600, 0.025, 0.525], [0.375, 0.475, 0.025], [0.875, 0.525, 0.975]]
}


Entry 7:
{
  "formula": "Rb3BiTe",
  "functional": "SCAN",
  "state": "single point on PBEsol structure",
  "e_tot_ha_per_atom": -1.3154,
  "formation_energy_uncorrected_ev_per_atom": -0.18,
  "crystal_system": "cubic",
  "sg": "No. 221",
  "lattice_angstrom": [[-5.828, 3.400, -0.745], [-1.371, -3.579, -5.602], [-3.199, -4.659, 3.759]],
  "species": ["Te", "Bi", "Rb", "Rb", "Rb"],
  "fractional_positions": [[0.500, 0.500, 0.500], [0.000, 0.000, 0.000], [0.000, 0.500, 0.000], [0.000, 0.000, 0.500], [0.500, 0.000, 0.000]]
}


Entry 8:
{
  "formula": "RbTi2Bi",
  "functional": "SCAN",
  "state": "single point on PBEsol structure",
  "e_tot_ha_per_atom": -1.1809,
  "crystal_system": "tetragonal",
  "sg": "No. 122",
  "formation_enthalpy_0k_kcal_per_mol_atoms": 16.40,
  "lattice_angstrom": [[4.962, 0.000, 0.000], [0.000, 4.962, 0.000], [-2.481, -2.481, 10.213]],
  "species": ["Bi", "Bi", "Rb", "Rb", "Ti", "Ti", "Ti", "Ti"],
  "fractional_positions": [[0.250, 0.750, 0.500], [0.000, 0.000, 0.000], [0.750, 0.250, 0.500], [0.500, 0.500, 0.000], [0.135, 0.875, 0.250], [0.115, 0.375, 0.250], [0.125, 0.885, 0.750], [0.625, 0.865, 0.750]]
}